A plane-wave DFT calculation with PBE-GGA was carried out for a relaxed BaCd2InPd4 crystal.

## Properties
Energy ... -30.737 eV for the cell shown
Mass density ... 8.55 g/cm³
Formation enthalpy at 0 K ... -0.43 eV/atom

Structure (POSCAR):
```
BaCd2InPd4
1.0
-2.2503 -3.2753 -2.3572
1.0556 -4.4511 0.6489
-6.8670 -3.1025 6.3381
Cd Pd In Ba
2 4 1 1
direct
0.7627 0.7627 0.7119
0.2373 0.2373 0.2881
0.1320 0.1320 0.6040
0.5937 0.5937 0.2189
0.4063 0.4063 0.7811
0.8680 0.8680 0.3960
0.5000 0.5000 0.5000
0.0000 0.0000 0.0000
```

A plane-wave DFT calculation with PBE-GGA was carried out for a relaxed Ba2Cd3InPd4 crystal.

## Properties
Energy ... -34.886 eV for the cell shown
Mass density ... 7.56 g/cm³
Formation enthalpy at 0 K ... -0.48 eV/atom

Structure (POSCAR):
```
Ba2Cd3InPd4
1.0
-3.0238 3.5360 -1.3055
-3.0268 -1.2806 3.5425
5.0407 6.8097 6.7687
Cd Pd Ba In
3 4 2 1
direct
0.0000 0.0000 0.5000
0.5000 0.0000 0.8773
0.0000 0.5000 0.1227
0.0000 0.5000 0.3764
0.5000 0.0000 0.6236
0.0000 0.0000 0.0000
0.5000 0.5000 0.0000
0.5000 0.0000 0.2342
0.0000 0.5000 0.7658
0.5000 0.5000 0.5000
```

A plane-wave DFT calculation with PBE-GGA was carried out for a relaxed BaCd2InPd crystal.

## Properties
ΔE to the lowest computed polymorph ... 58 meV/atom
Energy ... -13.440 eV for the cell shown
Mass density ... 6.60 g/cm³
Formation enthalpy at 0 K ... -0.35 eV/atom

Structure (POSCAR):
```
BaCd2InPd
1.0
-0.9498 -3.5358 3.8467
5.1889 -1.0961 0.2736
0.5998 3.7330 3.5795
Cd Ba Pd In
2 1 1 1
direct
0.0000 0.5000 0.0000
0.5000 0.0000 0.0000
0.5000 0.5000 0.5000
0.0000 0.0000 0.0000
0.0000 0.0000 0.5000
```

A plane-wave DFT calculation with PBE-GGA was carried out for a relaxed Ba2CdIn3Pd4 crystal.

## Properties
Energy ... -39.477 eV for the cell shown
Mass density ... 7.59 g/cm³
Formation enthalpy at 0 K ... -0.57 eV/atom

Structure (POSCAR):
```
Ba2CdIn3Pd4
1.0
-3.3027 3.4572 -0.7619
-2.5166 -3.0256 -2.8202
-5.5525 -3.4070 8.6099
In Ba Pd Cd
3 2 4 1
direct
0.0000 0.0000 0.5000
0.0000 0.5000 0.1177
0.5000 0.0000 0.8823
0.5000 0.0000 0.2404
0.0000 0.5000 0.7596
0.5000 0.5000 0.0000
0.5000 0.0000 0.6296
0.0000 0.0000 0.0000
0.0000 0.5000 0.3704
0.5000 0.5000 0.5000
```

A plane-wave DFT calculation with PBE-GGA was carried out for a relaxed BaCdInPd2 crystal.

## Properties
Energy ... -18.504 eV for the cell shown
Mass density ... 7.65 g/cm³
Formation enthalpy at 0 K ... -0.51 eV/atom

Structure (POSCAR):
```
BaCdInPd2
1.0
4.6010 0.0000 0.0000
0.0000 4.6010 0.0000
-2.3005 -2.3005 5.9217
In Cd Pd Ba
1 1 2 1
direct
0.7500 0.2500 0.5000
0.2500 0.7500 0.5000
0.3845 0.3845 0.7690
0.6155 0.6155 0.2310
0.0000 0.0000 0.0000
```

A plane-wave DFT calculation with PBE-GGA was carried out for a relaxed Ba3Cd2In2Pd4 crystal.

## Properties
Energy ... -39.124 eV for the cell shown
Mass density ... 6.69 g/cm³
Formation enthalpy at 0 K ... -0.48 eV/atom

Structure (POSCAR):
```
Ba3Cd2In2Pd4
1.0
-1.4211 0.4222 4.5036
3.4387 -3.0649 -1.1234
11.2799 11.7549 2.4572
Ba Cd In Pd
3 2 2 4
direct
0.0000 0.0000 0.7178
0.0000 0.0000 0.2822
0.0000 0.0000 0.0000
0.3333 0.6667 0.1412
0.6667 0.3333 0.8588
0.3333 0.6667 0.5640
0.6667 0.3333 0.4360
0.3333 0.6667 0.8651
0.3333 0.6667 0.3992
0.6667 0.3333 0.1349
0.6667 0.3333 0.6008
```